DFT (PBE) results for an optimized crystal structure of ZrTa2.

Lattice parameters (Å, degrees): 8.479 8.479 5.050 90.00 90.00 160.83
Sites, in units of the cell vectors:
Zr: 0.122 0.878 0.750
Zr: 0.878 0.122 0.250
Ta: 0.211 0.789 0.250
Ta: 0.456 0.544 0.750
Ta: 0.544 0.456 0.250
Ta: 0.789 0.211 0.750

Properties
Formation enthalpy at 0 K   0.238 eV/atom
Space-group type   Cmcm, No. 63
Energy   -10.51 eV/atom
Energy relative to the lowest polymorph listed for this composition   4.67 kcal/mol of atoms


DFT (PBE) results for an optimized crystal structure of ZrTa2.

Lattice parameters (Å, degrees): 4.920 4.920 5.654 90.00 90.00 120.00
Sites, in units of the cell vectors:
Zr: 0.333 0.667 0.250
Zr: 0.667 0.333 0.750
Ta: 0.000 0.000 0.000
Ta: 0.000 0.000 0.500
Ta: 0.333 0.667 0.750
Ta: 0.667 0.333 0.250

Properties
Formation enthalpy at 0 K   0.260 eV/atom
Space-group type   P6_3/mmc, No. 194
Energy   -10.49 eV/atom
Energy relative to the lowest polymorph listed for this composition   5.20 kcal/mol of atoms


DFT (PBE) results for an optimized crystal structure of ZrTa.

Lattice parameters (Å, degrees): 4.402 4.402 4.402 60.00 60.00 60.00
Sites, in units of the cell vectors:
Zr: 0.000 0.000 0.000
Ta: 0.750 0.750 0.750

Properties
Formation enthalpy at 0 K   2.729 eV/atom
Space-group type   F-43m, No. 216
Energy   -7.47 eV/atom


DFT (PBE) results for an optimized crystal structure of ZrTa2.

Lattice parameters (Å, degrees): 8.565 8.565 2.799 90.00 90.00 120.00
Sites, in units of the cell vectors:
Zr: 0.000 0.000 0.000
Zr: 0.333 0.667 0.500
Zr: 0.667 0.333 0.500
Ta: 0.000 0.327 0.500
Ta: 0.000 0.659 0.000
Ta: 0.327 0.000 0.500
Ta: 0.341 0.341 0.000
Ta: 0.659 0.000 0.000
Ta: 0.673 0.673 0.500

Properties
Formation enthalpy at 0 K   0.253 eV/atom
Space-group type   P-62m, No. 189
Energy   -10.50 eV/atom
Energy relative to the lowest polymorph listed for this composition   5.03 kcal/mol of atoms


DFT (PBE) results for an optimized crystal structure of TbTc5.

Lattice parameters (Å, degrees): 7.308 7.308 3.054 90.00 90.00 142.72
Sites, in units of the cell vectors:
Tb: 0.000 0.000 0.000
Tc: 0.192 0.808 0.500
Tc: 0.345 0.655 0.000
Tc: 0.500 0.500 0.500
Tc: 0.655 0.345 0.000
Tc: 0.808 0.192 0.500

Properties
Formation enthalpy at 0 K   0.257 eV/atom
Space-group type   Cmmm, No. 65
Energy   -9.15 eV/atom


DFT (PBE) results for an optimized crystal structure of TbTc2.

Lattice parameters (Å, degrees): 5.414 5.414 8.816 90.00 90.00 120.00
Sites, in units of the cell vectors:
Tb: 0.333 0.667 0.062
Tb: 0.333 0.667 0.438
Tb: 0.667 0.333 0.562
Tb: 0.667 0.333 0.938
Tc: 0.000 0.000 0.000
Tc: 0.000 0.000 0.500
Tc: 0.171 0.342 0.750
Tc: 0.171 0.829 0.750
Tc: 0.342 0.171 0.250
Tc: 0.658 0.829 0.750
Tc: 0.829 0.171 0.250
Tc: 0.829 0.658 0.250

Properties
Formation enthalpy at 0 K   -0.158 eV/atom
Space-group type   P6_3/mmc, No. 194
Energy   -8.61 eV/atom
Energy relative to the lowest polymorph listed for this composition   0.00 kcal/mol of atoms


DFT (PBE) results for an optimized crystal structure of TbTc2.

Lattice parameters (Å, degrees): 6.171 6.171 6.171 150.56 150.56 42.11
Sites, in units of the cell vectors:
Tb: 0.000 0.000 0.000
Tc: 0.306 0.306 0.000
Tc: 0.694 0.694 0.000

Properties
Formation enthalpy at 0 K   0.058 eV/atom
Space-group type   I4/mmm, No. 139
Energy   -8.40 eV/atom
Energy relative to the lowest polymorph listed for this composition   4.96 kcal/mol of atoms


DFT (PBE) results for an optimized crystal structure of Tb3Tc.

Lattice parameters (Å, degrees): 3.422 3.659 9.110 90.00 90.00 90.00
Sites, in units of the cell vectors:
Tb: 0.000 0.000 0.000
Tb: 0.000 0.500 0.341
Tb: 0.500 0.500 0.713
Tc: 0.500 0.000 0.494

Properties
Formation enthalpy at 0 K   0.330 eV/atom
Space-group type   Pmm2, No. 25
Energy   -5.73 eV/atom


DFT (PBE) results for an optimized crystal structure of Tb5Tc.

Lattice parameters (Å, degrees): 7.141 7.141 5.170 90.00 90.00 141.11
Sites, in units of the cell vectors:
Tb: 0.000 0.000 0.000
Tb: 0.142 0.858 0.500
Tb: 0.344 0.656 0.000
Tb: 0.656 0.344 0.000
Tb: 0.858 0.142 0.500
Tc: 0.500 0.500 0.500

Properties
Formation enthalpy at 0 K   0.167 eV/atom
Space-group type   Cmmm, No. 65
Energy   -5.42 eV/atom


DFT (PBE) results for an optimized crystal structure of Tb3Tc.

Lattice parameters (Å, degrees): 6.281 6.281 6.281 146.38 62.16 129.37
Sites, in units of the cell vectors:
Tb: 0.000 0.000 0.000
Tb: 0.300 0.500 0.800
Tb: 0.700 0.500 0.200
Tc: 0.494 0.994 0.500

Properties
Formation enthalpy at 0 K   0.032 eV/atom
Space-group type   Imm2, No. 44
Energy   -6.03 eV/atom


DFT (PBE) results for an optimized crystal structure of Tb3Tc.

Lattice parameters (Å, degrees): 6.139 6.139 7.521 97.34 97.34 122.84
Sites, in units of the cell vectors:
Tb: 0.013 0.348 0.220
Tb: 0.282 0.282 0.645
Tb: 0.348 0.013 0.220
Tb: 0.652 0.987 0.780
Tb: 0.718 0.718 0.355
Tb: 0.987 0.652 0.780
Tc: 0.385 0.615 0.000
Tc: 0.615 0.385 0.000

Properties
Formation enthalpy at 0 K   0.132 eV/atom
Space-group type   C2/m, No. 12
Energy   -5.93 eV/atom


DFT (PBE) results for an optimized crystal structure of Tb5Tc2.

Lattice parameters (Å, degrees): 8.548 8.548 7.427 96.64 96.64 43.15
Sites, in units of the cell vectors:
Tb: 0.087 0.913 0.750
Tb: 0.134 0.300 0.315
Tb: 0.290 0.526 0.084
Tb: 0.300 0.134 0.815
Tb: 0.474 0.710 0.416
Tb: 0.526 0.290 0.584
Tb: 0.700 0.866 0.185
Tb: 0.710 0.474 0.916
Tb: 0.866 0.700 0.685
Tb: 0.913 0.087 0.250
Tc: 0.099 0.682 0.426
Tc: 0.318 0.901 0.074
Tc: 0.682 0.099 0.926
Tc: 0.901 0.318 0.574

Properties
Formation enthalpy at 0 K   -0.061 eV/atom
Space-group type   C2/c, No. 15
Energy   -6.33 eV/atom